Model a:
The following is a DFT calculation (PBE) of an optimized crystal structure of Tl2Ni2Ag.

Unit cell a=3.399 b=3.399 c=8.738 alpha=78.78 beta=78.78 gamma=90.00
Fractional coordinates of all 5 atoms:
Ni1 0.750 0.250 0.500
Ni2 0.250 0.750 0.500
Tl1 0.380 0.380 0.240
Tl2 0.620 0.620 0.760
Ag1 0.000 0.000 0.000

Summary:
Crystal system = tetragonal
SG = I4/mmm

---

Model b:
The following is a DFT calculation (PBE) of an optimized crystal structure of Tl2Ni2Ag.

Unit cell a=7.155 b=7.155 c=3.458 alpha=90.00 beta=90.00 gamma=90.00
Fractional coordinates of all 10 atoms:
Ni1 0.374 0.874 0.000
Ni2 0.874 0.626 0.000
Ni3 0.626 0.126 0.000
Ni4 0.126 0.374 0.000
Tl1 0.171 0.671 0.500
Tl2 0.671 0.829 0.500
Tl3 0.829 0.329 0.500
Tl4 0.329 0.171 0.500
Ag1 0.000 0.000 0.000
Ag2 0.500 0.500 0.000

Summary:
Crystal system = tetragonal
SG = P4/mbm

---

Model c:
The following is a DFT calculation (PBE) of an optimized crystal structure of Tl2Ni2Ag.

Unit cell a=7.643 b=7.643 c=3.089 alpha=90.00 beta=90.00 gamma=90.00
Fractional coordinates of all 10 atoms:
Ni1 0.133 0.633 0.500
Ni2 0.633 0.867 0.500
Ni3 0.867 0.367 0.500
Ni4 0.367 0.133 0.500
Tl1 0.338 0.838 0.000
Tl2 0.838 0.662 0.000
Tl3 0.662 0.162 0.000
Tl4 0.162 0.338 0.000
Ag1 0.000 0.000 0.000
Ag2 0.500 0.500 0.000

Summary:
Crystal system = tetragonal
SG = P4/mbm

---

The data favor model b; the next most stable structure lies 81 meV per atom above it.

---

Model a:
The following is a DFT calculation (PBE) of an optimized crystal structure of Tm7Ni2Ag2.

Unit cell a=6.595 b=6.871 c=6.595 alpha=90.00 beta=109.39 gamma=90.00
Fractional coordinates of all 11 atoms:
Tm1 0.000 0.250 0.500
Tm2 0.500 0.750 0.000
Tm3 0.000 0.750 0.500
Tm4 0.500 0.250 0.000
Tm5 0.000 0.000 0.000
Tm6 0.500 0.757 0.500
Tm7 0.500 0.243 0.500
Ni1 0.707 0.000 0.293
Ni2 0.293 0.000 0.707
Ag1 0.818 0.500 0.818
Ag2 0.182 0.500 0.182

Summary:
Crystal system = orthorhombic
SG = Cmmm

---

Model b:
The following is a DFT calculation (PBE) of an optimized crystal structure of Tm7Ni2Ag2.

Unit cell a=3.595 b=9.357 c=9.357 alpha=60.93 beta=78.93 gamma=78.93
Fractional coordinates of all 11 atoms:
Tm1 0.811 0.093 0.285
Tm2 0.858 0.396 0.888
Tm3 0.500 0.017 0.983
Tm4 0.625 0.472 0.277
Tm5 0.375 0.723 0.528
Tm6 0.189 0.715 0.907
Tm7 0.142 0.112 0.604
Ni1 0.743 0.862 0.652
Ni2 0.257 0.348 0.138
Ag1 0.000 0.762 0.238
Ag2 0.500 0.354 0.646

Summary:
Crystal system = orthorhombic
SG = Imm2

---

The data favor model b; the next most stable structure lies 114 meV per atom above it.

---

Model a:
The following is a DFT calculation (PBE) of an optimized crystal structure of Tm4NiAg.

Unit cell a=9.311 b=9.311 c=9.311 alpha=60.00 beta=60.00 gamma=60.00
Fractional coordinates of all 24 atoms:
Tm1 0.400 0.400 0.400
Tm2 0.801 0.400 0.400
Tm3 0.400 0.801 0.400
Tm4 0.400 0.400 0.801
Tm5 0.561 0.561 0.939
Tm6 0.939 0.939 0.561
Tm7 0.561 0.939 0.561
Tm8 0.939 0.561 0.939
Tm9 0.939 0.561 0.561
Tm10 0.561 0.939 0.939
Tm11 0.186 0.186 0.814
Tm12 0.814 0.814 0.186
Tm13 0.186 0.814 0.186
Tm14 0.814 0.186 0.814
Tm15 0.814 0.186 0.186
Tm16 0.186 0.814 0.814
Ni1 0.607 0.607 0.607
Ni2 0.180 0.607 0.607
Ni3 0.607 0.180 0.607
Ni4 0.607 0.607 0.180
Ag1 0.167 0.167 0.167
Ag2 0.498 0.167 0.167
Ag3 0.167 0.498 0.167
Ag4 0.167 0.167 0.498

Summary:
Crystal system = cubic
SG = F-43m

---

Model b:
The following is a DFT calculation (PBE) of an optimized crystal structure of Tm4NiAg.

Unit cell a=7.720 b=7.720 c=7.720 alpha=106.04 beta=106.04 gamma=116.58
Fractional coordinates of all 12 atoms:
Tm1 0.271 0.965 0.694
Tm2 0.730 0.444 0.714
Tm3 0.715 0.521 0.194
Tm4 0.194 0.980 0.214
Tm5 0.327 0.521 0.806
Tm6 0.766 0.980 0.786
Tm7 0.730 0.016 0.286
Tm8 0.271 0.577 0.306
Ni1 0.757 0.757 0.000
Ni2 0.507 0.007 0.500
Ag1 0.241 0.241 0.000
Ag2 0.991 0.491 0.500

Summary:
Crystal system = tetragonal
SG = I4_1md

---

The data favor model a; the next most stable structure lies 303 meV per atom above it.

---

Model a:
The following is a DFT calculation (PBE) of an optimized crystal structure of V3NiAg.

Unit cell a=4.366 b=4.366 c=4.366 alpha=90.00 beta=90.00 gamma=90.00
Fractional coordinates of all 5 atoms:
Ni1 0.000 0.000 0.000
Ag1 0.500 0.500 0.500
V1 0.000 0.500 0.000
V2 0.000 0.000 0.500
V3 0.500 0.000 0.000

Summary:
Crystal system = cubic
SG = Pm-3m

---

Model b:
The following is a DFT calculation (PBE) of an optimized crystal structure of V3NiAg.

Unit cell a=4.800 b=4.800 c=4.800 alpha=90.00 beta=90.00 gamma=90.00
Fractional coordinates of all 5 atoms:
Ni1 0.500 0.500 0.500
Ag1 0.000 0.000 0.000
V1 0.000 0.500 0.000
V2 0.000 0.000 0.500
V3 0.500 0.000 0.000

Summary:
Crystal system = cubic
SG = Pm-3m

---

The data favor model a; the next most stable structure lies 1032 meV per atom above it.

---

Model a:
The following is a DFT calculation (PBE) of an optimized crystal structure of V2Ni2Ag.

Unit cell a=7.252 b=7.252 c=2.580 alpha=90.00 beta=90.00 gamma=90.00
Fractional coordinates of all 10 atoms:
Ni1 0.176 0.676 0.500
Ni2 0.676 0.824 0.500
Ni3 0.824 0.324 0.500
Ni4 0.324 0.176 0.500
Ag1 0.000 0.000 0.000
Ag2 0.500 0.500 0.000
V1 0.384 0.884 0.000
V2 0.884 0.616 0.000
V3 0.616 0.116 0.000
V4 0.116 0.384 0.000

Summary:
Crystal system = tetragonal
SG = P4/mbm

---

Model b:
The following is a DFT calculation (PBE) of an optimized crystal structure of V2Ni2Ag.

Unit cell a=7.120 b=7.120 c=2.625 alpha=90.00 beta=90.00 gamma=90.00
Fractional coordinates of all 10 atoms:
Ni1 0.374 0.874 0.000
Ni2 0.874 0.626 0.000
Ni3 0.626 0.126 0.000
Ni4 0.126 0.374 0.000
Ag1 0.000 0.000 0.000
Ag2 0.500 0.500 0.000
V1 0.167 0.667 0.500
V2 0.667 0.833 0.500
V3 0.833 0.333 0.500
V4 0.333 0.167 0.500

Summary:
Crystal system = tetragonal
SG = P4/mbm

---

The data favor model b; the next most stable structure lies 92 meV per atom above it.

---

Model a:
The following is a DFT calculation (PBE) of an optimized crystal structure of VNi2Ag.

Unit cell a=6.596 b=6.596 c=5.359 alpha=52.02 beta=52.02 gamma=90.00
Fractional coordinates of all 8 atoms:
Ni1 0.588 0.125 0.250
Ni2 0.162 0.625 0.250
Ni3 0.375 0.412 0.750
Ni4 0.875 0.838 0.750
Ag1 0.000 0.000 0.000
Ag2 0.750 0.250 0.500
V1 0.500 0.500 0.000
V2 0.250 0.750 0.500

Summary:
Crystal system = tetragonal
SG = I-42d

---

Model b:
The following is a DFT calculation (PBE) of an optimized crystal structure of VNi2Ag.

Unit cell a=4.203 b=4.203 c=4.203 alpha=60.00 beta=60.00 gamma=60.00
Fractional coordinates of all 4 atoms:
Ni1 0.250 0.250 0.250
Ni2 0.750 0.750 0.750
Ag1 0.500 0.500 0.500
V1 0.000 0.000 0.000

Summary:
Crystal system = cubic
SG = Fm-3m

---

Model c:
The following is a DFT calculation (PBE) of an optimized crystal structure of VNi2Ag.

Unit cell a=2.691 b=2.691 c=7.299 alpha=90.00 beta=90.00 gamma=90.00
Fractional coordinates of all 4 atoms:
Ni1 0.000 0.000 0.775
Ni2 0.000 0.000 0.225
Ag1 0.500 0.500 0.500
V1 0.500 0.500 0.000

Summary:
Crystal system = tetragonal
SG = P4/mmm

---

The data favor model c; the next most stable structure lies 143 meV per atom above it.

---

Model a:
The following is a DFT calculation (PBE) of an optimized crystal structure of VNiAg2.

Unit cell a=7.241 b=7.241 c=5.752 alpha=50.99 beta=50.99 gamma=90.00
Fractional coordinates of all 8 atoms:
Ni1 0.000 0.000 0.000
Ni2 0.750 0.250 0.500
Ag1 0.651 0.125 0.250
Ag2 0.099 0.625 0.250
Ag3 0.375 0.349 0.750
Ag4 0.875 0.901 0.750
V1 0.500 0.500 0.000
V2 0.250 0.750 0.500

Summary:
Crystal system = tetragonal
SG = I-42d

---

Model b:
The following is a DFT calculation (PBE) of an optimized crystal structure of VNiAg2.

Unit cell a=4.445 b=4.445 c=4.445 alpha=60.00 beta=60.00 gamma=60.00
Fractional coordinates of all 4 atoms:
Ni1 0.500 0.500 0.500
Ag1 0.250 0.250 0.250
Ag2 0.750 0.750 0.750
V1 0.000 0.000 0.000

Summary:
Crystal system = cubic
SG = Fm-3m

---

The data favor model b; the next most stable structure lies 260 meV per atom above it.

---

Model a:
The following is a DFT calculation (PBE) of an optimized crystal structure of Ni2AgW.

Unit cell a=4.253 b=4.253 c=4.253 alpha=60.00 beta=60.00 gamma=60.00
Fractional coordinates of all 4 atoms:
Ni1 0.250 0.250 0.250
Ni2 0.750 0.750 0.750
Ag1 0.000 0.000 0.000
W1 0.500 0.500 0.500

Summary:
Crystal system = cubic
SG = Fm-3m

---

Model b:
The following is a DFT calculation (PBE) of an optimized crystal structure of Ni2AgW.

Unit cell a=8.906 b=8.906 c=8.906 alpha=17.64 beta=17.64 gamma=17.64
Fractional coordinates of all 4 atoms:
Ag1 0.750 0.750 0.750
Ni1 0.996 0.996 0.996
Ni2 0.504 0.504 0.504
W1 0.250 0.250 0.250

Summary:
Crystal system = trigonal
SG = R-3m

---

Model c:
The following is a DFT calculation (PBE) of an optimized crystal structure of Ni2AgW.

Unit cell a=2.741 b=4.738 c=4.385 alpha=90.00 beta=90.00 gamma=90.00
Fractional coordinates of all 4 atoms:
Ag1 0.000 0.500 0.500
Ni1 0.000 0.000 0.000
Ni2 0.500 0.500 0.000
W1 0.500 0.000 0.500

Summary:
Crystal system = orthorhombic
SG = Pmmm

---

The data favor model b; the next most stable structure lies 106 meV per atom above it.

---

Model a:
The following is a DFT calculation (PBE) of an optimized crystal structure of Ni2AgW.

Unit cell a=4.446 b=4.446 c=5.039 alpha=82.20 beta=82.20 gamma=34.99
Fractional coordinates of all 4 atoms:
Ag1 0.250 0.250 0.250
Ni1 0.003 0.003 0.968
Ni2 0.497 0.497 0.532
W1 0.750 0.750 0.750

Summary:
Crystal system = monoclinic
SG = C2/m

---

Model b:
The following is a DFT calculation (PBE) of an optimized crystal structure of Ni2AgW.

Unit cell a=2.683 b=3.862 c=5.380 alpha=90.00 beta=90.00 gamma=90.00
Fractional coordinates of all 4 atoms:
Ag1 0.500 0.500 0.767
Ni1 0.000 0.000 0.016
Ni2 0.500 0.500 0.255
W1 0.000 0.000 0.461

Summary:
Crystal system = orthorhombic
SG = Pmm2

---

The data favor model a; the next most stable structure lies 7 meV per atom above it.

---

Model a:
The following is a DFT calculation (PBE) of an optimized crystal structure of Ni2AgW.

Unit cell a=4.603 b=4.603 c=2.685 alpha=90.00 beta=90.00 gamma=104.35
Fractional coordinates of all 4 atoms:
Ag1 0.000 0.500 0.500
Ni1 0.000 0.000 0.000
Ni2 0.500 0.500 0.000
W1 0.500 0.000 0.500

Summary:
Crystal system = orthorhombic
SG = Cmmm

---

Model b:
The following is a DFT calculation (PBE) of an optimized crystal structure of Ni2AgW.

Unit cell a=4.813 b=4.813 c=4.561 alpha=76.26 beta=76.26 gamma=32.43
Fractional coordinates of all 4 atoms:
Ag1 0.259 0.259 0.214
Ni1 0.016 0.016 0.016
Ni2 0.738 0.738 0.723
W1 0.486 0.486 0.546

Summary:
Crystal system = monoclinic
SG = Cm

---

The data favor model b; the next most stable structure lies 43 meV per atom above it.

---

Model a:
The following is a DFT calculation (PBE) of an optimized crystal structure of Ni2AgW.

Unit cell a=4.795 b=4.795 c=4.795 alpha=134.84 beta=134.84 gamma=65.78
Fractional coordinates of all 4 atoms:
Ag1 0.750 0.250 0.500
Ni1 0.000 0.000 0.000
Ni2 0.250 0.750 0.500
W1 0.500 0.500 0.000

Summary:
Crystal system = tetragonal
SG = I-4m2

---

Model b:
The following is a DFT calculation (PBE) of an optimized crystal structure of Ni2AgW.

Unit cell a=5.273 b=5.273 c=5.273 alpha=150.24 beta=129.91 gamma=59.36
Fractional coordinates of all 4 atoms:
Ag1 0.240 0.740 0.500
Ni1 0.979 0.979 0.000
Ni2 0.757 0.257 0.500
W1 0.524 0.524 0.000

Summary:
Crystal system = orthorhombic
SG = Imm2

---

The data favor model b; the next most stable structure lies 78 meV per atom above it.